First-principles (PBE) data for a geometry-optimized ErAgHg4 structure, as listed in Alexandria.

Unit cell a=5.1220 b=8.5483 c=6.3638 alpha=90.00 beta=98.31 gamma=90.00
Positions (direct):
Er: 0.0000 0.0000 0.0000
Er: 0.5000 0.5000 0.0000
Ag: 0.0000 0.0000 0.5000
Ag: 0.5000 0.5000 0.5000
Hg: 0.0387 0.3299 0.2528
Hg: 0.0387 0.6701 0.2528
Hg: 0.4613 0.1701 0.7472
Hg: 0.4613 0.8299 0.7472
Hg: 0.5387 0.1701 0.2528
Hg: 0.5387 0.8299 0.2528
Hg: 0.9613 0.3299 0.7472
Hg: 0.9613 0.6701 0.7472

Summary:
The calculation puts the total energy at -0.058 Ha/atom. The calculation puts the energy of formation at -0.145 eV per atom. The energy above the most stable polymorph in this dataset is 0.00 eV/f.u. As for the space group: C2/m, No. 12.